# NiP2ClF

A relaxed NiP2ClF crystal (PBE+U, the Alexandria database).

Unit cell a=4.2860 b=4.2860 c=4.6146 alpha=90.00 beta=90.00 gamma=90.00
Sites, in units of the cell vectors:
Ni  0.0000  0.0000  0.0000
P  0.0000  0.5000  0.0000
P  0.5000  0.0000  0.0000
Cl  0.0000  0.0000  0.5000
F  0.5000  0.5000  0.5000

## Properties
Mass density: 3.43 Mg/m³
Energy above the most stable polymorph in this dataset: 0.000 kcal/mol of atoms
Energy: -2.920 eV per atom